Entry from Alexandria via LeMat-Bulk: a relaxed structure of SrMg2Pd (GGA-PBE). Values from VASP.

Results
formation enthalpy at 0 K: -458 meV/atom
SG: Pnma
total DFT energy (no corrections): -2.974 eV per atom
DOS at the Fermi energy: 15.7 states/eV/cell
total magnetization: 0.0000 μB/atom

Geometry as Quantum ESPRESSO input:
```
&SYSTEM
  ibrav = 0, nat = 32, ntyp = 3
/
ATOMIC_SPECIES
Sr 87.62 Sr.upf
Mg 24.30 Mg.upf
Pd 106.42 Pd.upf
CELL_PARAMETERS angstrom
16.3881 0.0000 0.0000
0.0000 8.1680 0.0000
0.0000 0.0000 6.0424
ATOMIC_POSITIONS crystal
Sr 0.1042 0.2500 0.2215
Sr 0.1347 0.7500 0.0311
Sr 0.3653 0.2500 0.5311
Sr 0.3958 0.7500 0.7215
Sr 0.6042 0.2500 0.2785
Sr 0.6347 0.7500 0.4689
Sr 0.8653 0.2500 0.9689
Sr 0.8958 0.7500 0.7785
Mg 0.0448 0.0611 0.7087
Mg 0.0448 0.4389 0.7087
Mg 0.2109 0.5560 0.5271
Mg 0.2109 0.9440 0.5271
Mg 0.2891 0.0560 0.0271
Mg 0.2891 0.4440 0.0271
Mg 0.4552 0.5611 0.2087
Mg 0.4552 0.9389 0.2087
Mg 0.5448 0.0611 0.7913
Mg 0.5448 0.4389 0.7913
Mg 0.7109 0.5560 0.9729
Mg 0.7109 0.9440 0.9729
Mg 0.7891 0.0560 0.4729
Mg 0.7891 0.4440 0.4729
Mg 0.9552 0.5611 0.2913
Mg 0.9552 0.9389 0.2913
Pd 0.0702 0.7500 0.5204
Pd 0.1887 0.2500 0.7477
Pd 0.3113 0.7500 0.2477
Pd 0.4298 0.2500 0.0204
Pd 0.5702 0.7500 0.9796
Pd 0.6887 0.2500 0.7523
Pd 0.8113 0.7500 0.2523
Pd 0.9298 0.2500 0.4796
```